1.
The following is a PBE-GGA calculation of a geometry-optimized LiTb2Pd2 structure, from Alexandria.

Values from the calculation:
ΔH_f (0 K), eV per formula unit: -3.34
Space group: C2/c (15)
Total DFT energy (no corrections), eV/atom: -4.980

a = 5.782 Å, b = 5.782 Å, c = 7.758 Å
α = 103.33°, β = 103.33°, γ = 57.45°
Fractional coordinates of all 10 atoms:
Li 0.150 0.850 0.750
Li 0.850 0.150 0.250
Tb 0.212 0.490 0.349
Tb 0.490 0.212 0.849
Tb 0.510 0.788 0.151
Tb 0.788 0.510 0.651
Pd 0.004 0.735 0.997
Pd 0.265 0.996 0.503
Pd 0.735 0.004 0.497
Pd 0.996 0.265 0.003

***

2.
The following is a PBE-GGA calculation of a geometry-optimized Li7TbPd4 structure, from Alexandria.

Values from the calculation:
ΔH_f (0 K), eV per formula unit: -2.82
Space group: C2/m (12)
Total DFT energy (no corrections), eV/atom: -3.468

a = 5.553 Å, b = 5.553 Å, c = 9.188 Å
α = 113.81°, β = 113.81°, γ = 52.88°
Fractional coordinates of all 12 atoms:
Li 0.000 0.000 0.000
Li 0.143 0.143 0.621
Li 0.318 0.318 0.223
Li 0.378 0.378 0.570
Li 0.622 0.622 0.430
Li 0.682 0.682 0.777
Li 0.857 0.857 0.379
Tb 0.500 0.500 0.000
Pd 0.105 0.105 0.308
Pd 0.192 0.192 0.917
Pd 0.808 0.808 0.083
Pd 0.895 0.895 0.692

***

3.
The following is a PBE-GGA calculation of a geometry-optimized LiTb2Pd6 structure, from Alexandria.

Values from the calculation:
ΔH_f (0 K), eV per formula unit: -4.13
Space group: C2/m (12)
Total DFT energy (no corrections), eV/atom: -5.162

a = 7.855 Å, b = 7.855 Å, c = 3.356 Å
α = 102.22°, β = 102.22°, γ = 58.68°
Fractional coordinates of all 9 atoms:
Li 0.000 0.000 0.000
Tb 0.351 0.351 0.351
Tb 0.649 0.649 0.649
Pd 0.034 0.633 0.833
Pd 0.240 0.760 0.500
Pd 0.367 0.966 0.167
Pd 0.633 0.034 0.833
Pd 0.760 0.240 0.500
Pd 0.966 0.367 0.167

***

4.
The following is a PBE-GGA calculation of a geometry-optimized LiTbPd2 structure, from Alexandria.

Values from the calculation:
ΔH_f (0 K), eV per formula unit: -2.74
Space group: P4/mmm (123)
Total DFT energy (no corrections), eV/atom: -4.919

a = 4.277 Å, b = 4.277 Å, c = 3.901 Å
α = 90.00°, β = 90.00°, γ = 90.00°
Fractional coordinates of all 4 atoms:
Li 0.000 0.000 0.000
Tb 0.500 0.500 0.000
Pd 0.000 0.500 0.500
Pd 0.500 0.000 0.500

***

5.
The following is a PBE-GGA calculation of a geometry-optimized LiTbPd14 structure, from Alexandria.

Values from the calculation:
ΔH_f (0 K), eV per formula unit: -3.98
Space group: P4/mmm (123)
Total DFT energy (no corrections), eV/atom: -5.202

a = 5.643 Å, b = 5.643 Å, c = 7.966 Å
α = 90.00°, β = 90.00°, γ = 90.00°
Fractional coordinates of all 16 atoms:
Li 0.000 0.000 0.000
Tb 0.500 0.500 0.000
Pd 0.000 0.000 0.500
Pd 0.000 0.500 0.000
Pd 0.000 0.500 0.500
Pd 0.247 0.247 0.253
Pd 0.247 0.247 0.747
Pd 0.247 0.753 0.253
Pd 0.247 0.753 0.747
Pd 0.500 0.000 0.000
Pd 0.500 0.000 0.500
Pd 0.500 0.500 0.500
Pd 0.753 0.247 0.253
Pd 0.753 0.247 0.747
Pd 0.753 0.753 0.253
Pd 0.753 0.753 0.747

***

6.
The following is a PBE-GGA calculation of a geometry-optimized LiTbPd6 structure, from Alexandria.

Values from the calculation:
ΔH_f (0 K), eV per formula unit: -2.81
Space group: R-3m (166)
Total DFT energy (no corrections), eV/atom: -5.064

a = 5.552 Å, b = 5.552 Å, c = 5.552 Å
α = 109.44°, β = 109.44°, γ = 109.44°
Fractional coordinates of all 8 atoms:
Li 0.000 0.000 0.000
Tb 0.500 0.500 0.500
Pd 0.227 0.750 0.750
Pd 0.250 0.250 0.773
Pd 0.250 0.773 0.250
Pd 0.750 0.227 0.750
Pd 0.750 0.750 0.227
Pd 0.773 0.250 0.250

***

7.
The following is a PBE-GGA calculation of a geometry-optimized Li2Tb3Pd5 structure, from Alexandria.

Values from the calculation:
ΔH_f (0 K), eV per formula unit: -7.36
Space group: P4/mbm (127)
Total DFT energy (no corrections), eV/atom: -5.105

a = 9.921 Å, b = 9.921 Å, c = 3.703 Å
α = 90.00°, β = 90.00°, γ = 90.00°
Fractional coordinates of all 20 atoms:
Li 0.120 0.380 0.000
Li 0.380 0.880 0.000
Li 0.620 0.120 0.000
Li 0.880 0.620 0.000
Tb 0.000 0.000 0.000
Tb 0.175 0.675 0.000
Tb 0.325 0.175 0.000
Tb 0.500 0.500 0.000
Tb 0.675 0.825 0.000
Tb 0.825 0.325 0.000
Pd 0.000 0.500 0.500
Pd 0.071 0.215 0.500
Pd 0.215 0.929 0.500
Pd 0.285 0.429 0.500
Pd 0.429 0.715 0.500
Pd 0.500 0.000 0.500
Pd 0.571 0.285 0.500
Pd 0.715 0.571 0.500
Pd 0.785 0.071 0.500
Pd 0.929 0.785 0.500

***

8.
The following is a PBE-GGA calculation of a geometry-optimized LiTb2Pd2 structure, from Alexandria.

Values from the calculation:
ΔH_f (0 K), eV per formula unit: -3.48
Space group: P4/mbm (127)
Total DFT energy (no corrections), eV/atom: -5.007

a = 7.682 Å, b = 7.682 Å, c = 3.781 Å
α = 90.00°, β = 90.00°, γ = 90.00°
Fractional coordinates of all 10 atoms:
Li 0.000 0.000 0.000
Li 0.500 0.500 0.000
Tb 0.166 0.334 0.500
Tb 0.334 0.834 0.500
Tb 0.666 0.166 0.500
Tb 0.834 0.666 0.500
Pd 0.134 0.634 0.000
Pd 0.366 0.134 0.000
Pd 0.634 0.866 0.000
Pd 0.866 0.366 0.000

***

9.
The following is a PBE-GGA calculation of a geometry-optimized Li2TbPd5 structure, from Alexandria.

Values from the calculation:
ΔH_f (0 K), eV per formula unit: -5.11
Space group: I4/mmm (139)
Total DFT energy (no corrections), eV/atom: -4.942

a = 7.592 Å, b = 7.592 Å, c = 7.592 Å
α = 147.74°, β = 147.74°, γ = 46.27°
Fractional coordinates of all 8 atoms:
Li 0.250 0.250 0.000
Li 0.750 0.750 0.000
Tb 0.000 0.000 0.000
Pd 0.142 0.642 0.500
Pd 0.358 0.858 0.500
Pd 0.500 0.500 0.000
Pd 0.642 0.142 0.500
Pd 0.858 0.358 0.500

***

10.
The following is a PBE-GGA calculation of a geometry-optimized LiTb6Pd2 structure, from Alexandria.

Values from the calculation:
ΔH_f (0 K), eV per formula unit: -3.22
Space group: C2/m (12)
Total DFT energy (no corrections), eV/atom: -4.811

a = 7.373 Å, b = 7.373 Å, c = 10.413 Å
α = 124.52°, β = 124.52°, γ = 31.22°
Fractional coordinates of all 9 atoms:
Li 0.000 0.000 0.000
Tb 0.021 0.021 0.681
Tb 0.282 0.282 0.380
Tb 0.333 0.333 0.972
Tb 0.667 0.667 0.028
Tb 0.718 0.718 0.620
Tb 0.979 0.979 0.319
Pd 0.406 0.406 0.755
Pd 0.594 0.594 0.245

***

11.
The following is a PBE-GGA calculation of a geometry-optimized LiTbThPd structure, from Alexandria.

Values from the calculation:
ΔH_f (0 K), eV per formula unit: -0.97
Space group: F-43m (216)
Total DFT energy (no corrections), eV/atom: -5.032

a = 5.113 Å, b = 5.113 Å, c = 5.113 Å
α = 60.00°, β = 60.00°, γ = 60.00°
Fractional coordinates of all 4 atoms:
Li 0.000 0.000 0.000
Tb 0.250 0.250 0.250
Th 0.750 0.750 0.750
Pd 0.500 0.500 0.500

***

12.
The following is a PBE-GGA calculation of a geometry-optimized LiTbTl2Pd4 structure, from Alexandria.

Values from the calculation:
ΔH_f (0 K), eV per formula unit: -3.95
Space group: R-3m (166)
Total DFT energy (no corrections), eV/atom: -4.500

a = 8.174 Å, b = 8.174 Å, c = 8.174 Å
α = 33.57°, β = 33.57°, γ = 33.57°
Fractional coordinates of all 8 atoms:
Li 0.000 0.000 0.000
Tb 0.500 0.500 0.500
Tl 0.254 0.254 0.254
Tl 0.746 0.746 0.746
Pd 0.117 0.117 0.117
Pd 0.376 0.376 0.376
Pd 0.624 0.624 0.624
Pd 0.883 0.883 0.883